Record 1
VASP calculation (PBE) on a relaxed structure of K2Ho3TmC2.

The value obtained for the magnetization is 0.0 μB/cell. The total energy comes out at -39.34 eV per cell. The value obtained for the density is 5.5 g cm⁻³.

a b c (Å): 3.599 3.599 20.559
angles (deg): 90.00 90.00 120.00
Fractional coordinates of all 8 atoms:
C1 0.667 0.333 0.500
C2 0.667 0.333 0.001
Tm1 0.000 0.000 0.064
Ho1 0.333 0.667 0.564
Ho2 0.333 0.667 0.936
Ho3 0.000 0.000 0.435
K1 0.000 0.000 0.750
K2 0.333 0.667 0.249


Record 2
VASP calculation (PBE) on a relaxed structure of KHoTmC.

The value obtained for the magnetization is 0.1 μB/cell. The total energy comes out at -39.25 eV per cell. The value obtained for the density is 5.6 g cm⁻³.

a b c (Å): 3.593 3.593 20.471
angles (deg): 90.00 90.00 120.00
Fractional coordinates of all 8 atoms:
K1 0.667 0.333 0.249
K2 0.333 0.667 0.751
Tm1 0.333 0.667 0.064
Tm2 0.667 0.333 0.936
Ho1 0.667 0.333 0.565
Ho2 0.333 0.667 0.435
C1 0.000 0.000 0.000
C2 0.000 0.000 0.500


Record 3
VASP calculation (PBE) on a relaxed structure of LaHoSi2Mo2C.

The value obtained for the magnetization is 0.0 μB/cell. The total energy comes out at -55.04 eV per cell. The value obtained for the density is 7.2 g cm⁻³.

a b c (Å): 5.949 5.949 7.304
angles (deg): 123.76 123.76 38.22
Fractional coordinates of all 7 atoms:
Si1 0.133 0.133 0.668
Si2 0.867 0.867 0.325
La1 0.422 0.422 0.697
Mo1 0.795 0.795 0.921
Mo2 0.206 0.206 0.082
Ho1 0.573 0.573 0.293
C1 0.004 0.004 0.014


Record 4
VASP calculation (PBE) on a relaxed structure of LaHoCN2O2.

The value obtained for the magnetization is 0.0 μB/cell. The total energy comes out at -60.29 eV per cell. The value obtained for the density is 6.0 g cm⁻³.

a b c (Å): 3.828 3.828 8.254
angles (deg): 90.00 90.00 120.00
Fractional coordinates of all 7 atoms:
N1 0.000 0.000 0.157
N2 0.000 0.000 0.858
Ho1 0.333 0.667 0.321
La1 0.667 0.333 0.680
O1 0.667 0.333 0.386
O2 0.333 0.667 0.591
C1 0.000 0.000 0.007


Record 5
VASP calculation (PBE) on a relaxed structure of La2HoPbC.

The value obtained for the magnetization is 0.0 μB/cell. The total energy comes out at -29.57 eV per cell. The value obtained for the density is 8.1 g cm⁻³.

a b c (Å): 5.233 5.233 4.945
angles (deg): 90.00 90.00 90.00
Fractional coordinates of all 5 atoms:
Ho1 0.500 0.500 0.000
La1 0.500 0.000 0.500
La2 0.000 0.500 0.500
C1 0.500 0.500 0.500
Pb1 0.000 0.000 0.000


Record 6
VASP calculation (PBE) on a relaxed structure of LaHoW2C3.

The value obtained for the magnetization is 0.0 μB/cell. The total energy comes out at -64.73 eV per cell. The value obtained for the density is 10.7 g cm⁻³.

a b c (Å): 6.306 6.306 5.863
angles (deg): 113.58 113.58 31.08
Fractional coordinates of all 7 atoms:
W1 0.840 0.840 0.675
W2 0.156 0.156 0.320
C1 0.248 0.248 0.728
C2 0.746 0.746 0.271
C3 0.002 0.002 0.984
Ho1 0.612 0.612 0.826
La1 0.396 0.396 0.196